Entry 1:
VASP calculation (PBE) on an optimized crystal structure of TaCrCl2.

Unit cell a=4.4274 b=4.4274 c=3.3756 alpha=90.00 beta=90.00 gamma=90.00
With the nearest neighbours (Å) after each atom.
Sites, in units of the cell vectors:
1 Ta 0.0000 0.0000 0.0000  8 Cl 2.78
2 Cr 0.5000 0.5000 0.0000  8 Cl 2.78
3 Cl 0.0000 0.5000 0.5000  4 Cr 2.78, 4 Ta 2.78
4 Cl 0.5000 0.0000 0.5000  4 Cr 2.78, 4 Ta 2.78

Calculated values
Formation energy (no corrections) (kJ/mol of atoms): 57.09
Energy above the most stable polymorph in this dataset (meV/atom): 988
Crystal system: tetragonal
Theoretical density (g cm⁻³): 7.6

Entry 2:
VASP calculation (PBE) on an optimized crystal structure of Ga6AgSn.

Unit cell a=4.4097 b=5.5074 c=7.1653 alpha=87.25 beta=86.56 gamma=68.55
With the nearest neighbours (Å) after each atom.
Sites, in units of the cell vectors:
1 Ga 0.0479 0.2297 0.2417  1 Ag 2.72, 4 Ga 2.80-2.89, 1 Sn 2.95
2 Ga 0.2278 0.6292 0.3989  4 Ga 2.76-2.89, 1 Ag 2.86, 1 Sn 3.05
3 Ga 0.2459 0.1148 0.8619  1 Ag 2.77, 5 Ga 2.81-3.06, 1 Sn 2.97
4 Ga 0.7541 0.8852 0.1381  1 Ag 2.77, 5 Ga 2.81-3.06, 1 Sn 2.97
5 Ga 0.7722 0.3708 0.6011  4 Ga 2.76-2.89, 1 Ag 2.86, 1 Sn 3.05
6 Ga 0.9521 0.7703 0.7583  1 Ag 2.72, 4 Ga 2.80-2.89, 1 Sn 2.95
7 Ag 0.5000 0.0000 0.5000  6 Ga 2.72-2.86
8 Sn 0.5000 0.5000 0.0000  10 Ga 2.95-3.28

Calculated values
Energy above the most stable polymorph in this dataset (meV/atom): 0
Crystal system: triclinic
Theoretical density (g cm⁻³): 6.6
Formation energy from the elements (meV/atom): 36.5

Entry 3:
VASP calculation (PBE) on an optimized crystal structure of CsBa2RhS.

Unit cell a=6.0148 b=6.0148 c=5.0239 alpha=90.00 beta=90.00 gamma=90.00
With the nearest neighbours (Å) after each atom.
Sites, in units of the cell vectors:
1 Cs 0.0000 0.0000 0.0000  8 Ba 3.92, 4 S 4.25
2 Ba 0.0000 0.5000 0.5000  2 Rh 3.01
3 Ba 0.5000 0.0000 0.5000  2 Rh 3.01
4 Rh 0.5000 0.5000 0.5000  2 S 2.51
5 S 0.5000 0.5000 0.0000  2 Rh 2.51

Calculated values
Formation energy (no corrections) (kJ/mol of atoms): -21.36
Crystal system: tetragonal
Theoretical density (g cm⁻³): 5.0

Entry 4:
VASP calculation (PBE) on an optimized crystal structure of Er3TmPb2.

Unit cell a=4.5302 b=4.5302 c=8.4487 alpha=90.00 beta=90.00 gamma=90.00
With the nearest neighbours (Å) after each atom.
Sites, in units of the cell vectors:
1 Er 0.0000 0.0000 0.0000  4 Tm 3.20, 4 Pb 3.31
2 Er 0.0000 0.5000 0.6607  5 Pb 3.17-3.24
3 Er 0.5000 0.0000 0.3393  5 Pb 3.17-3.24
4 Tm 0.5000 0.5000 0.0000  4 Er 3.20, 4 Pb 3.31
5 Pb 0.0000 0.5000 0.2852  7 Er 3.17-3.31, 2 Tm 3.31
6 Pb 0.5000 0.0000 0.7148  7 Er 3.17-3.31, 2 Tm 3.31

Calculated values
Energy above the most stable polymorph in this dataset (meV/atom): 0
Crystal system: tetragonal
Theoretical density (g cm⁻³): 10.4
Formation energy from the elements (meV/atom): -394.6

Entry 5:
VASP calculation (PBE) on an optimized crystal structure of Na2LiAgI4.

Unit cell a=9.5651 b=8.4590 c=7.8787 alpha=90.00 beta=90.00 gamma=90.00
With the nearest neighbours (Å) after each atom.
Sites, in units of the cell vectors:
1 Na 0.2498 0.1785 0.0000  4 I 3.06-3.11
2 Na 0.2502 0.8215 0.5000  4 I 3.06-3.11
3 Na 0.7502 0.1785 0.0000  4 I 3.06-3.11
4 Na 0.7498 0.8215 0.5000  4 I 3.06-3.11
5 Li 0.0000 0.3355 0.4936  4 I 2.77-2.82
6 Li 0.5000 0.6645 0.9936  4 I 2.77-2.82
7 Ag 0.0000 0.6653 0.9945  4 I 2.88-2.89
8 Ag 0.5000 0.3347 0.4945  4 I 2.88-2.89
9 I 0.0000 0.3545 0.8462  1 Li 2.78, 1 Ag 2.88, 2 Na 3.06
10 I 0.0000 0.6383 0.3590  1 Li 2.77, 1 Ag 2.88, 2 Na 3.06
11 I 0.2455 0.1756 0.3943  1 Li 2.82, 1 Ag 2.89, 2 Na 3.11
12 I 0.2545 0.8244 0.8943  1 Li 2.82, 1 Ag 2.89, 2 Na 3.11
13 I 0.5000 0.3617 0.8590  1 Li 2.77, 1 Ag 2.88, 2 Na 3.06
14 I 0.5000 0.6455 0.3462  1 Li 2.78, 1 Ag 2.88, 2 Na 3.06
15 I 0.7455 0.8244 0.8943  1 Li 2.82, 1 Ag 2.89, 2 Na 3.11
16 I 0.7545 0.1756 0.3943  1 Li 2.82, 1 Ag 2.89, 2 Na 3.11

Calculated values
Formation energy (no corrections) (kJ/mol of atoms): -93.60
Crystal system: orthorhombic
Theoretical density (g cm⁻³): 3.5

Entry 6:
VASP calculation (PBE) on an optimized crystal structure of SrLaTcS2.

Unit cell a=5.3250 b=5.3250 c=6.3558 alpha=90.00 beta=90.00 gamma=90.00
With the nearest neighbours (Å) after each atom.
Sites, in units of the cell vectors:
1 Sr 0.0000 0.0000 0.0000  4 S 2.66
2 La 0.0000 0.0000 0.5000  2 Sr 3.18
3 Tc 0.5000 0.5000 0.5000  4 La 3.77, 8 S 4.15
4 S 0.0000 0.5000 0.0000  2 Sr 2.66
5 S 0.5000 0.0000 0.0000  2 Sr 2.66

Calculated values
Formation energy (no corrections) (kJ/mol of atoms): 92.87
Crystal system: tetragonal
Theoretical density (g cm⁻³): 3.6

Entry 7:
VASP calculation (PBE) on an optimized crystal structure of Mn4Be2Cd.

Unit cell a=6.8489 b=6.8489 c=6.8489 alpha=139.00 beta=139.00 gamma=59.37
With the nearest neighbours (Å) after each atom.
Sites, in units of the cell vectors:
1 Mn 0.0000 0.5000 0.5000  2 Cd 2.40, 4 Be 2.61
2 Mn 0.2211 0.2211 0.0000  1 Be 2.30
3 Mn 0.5000 0.0000 0.5000  2 Cd 2.40, 4 Be 2.61
4 Mn 0.7789 0.7789 0.0000  1 Be 2.30
5 Be 0.4143 0.4143 0.0000  1 Be 2.04
6 Be 0.5857 0.5857 0.0000  1 Be 2.04
7 Cd 0.0000 0.0000 0.0000  6 Mn 2.40-2.63

Calculated values
Crystal system: tetragonal
Theoretical density (g cm⁻³): 4.2
Formation energy from the elements (meV/atom): 1248.2

Entry 8:
VASP calculation (PBE) on an optimized crystal structure of TaMoAs2Se.

Unit cell a=4.8332 b=4.8332 c=4.9018 alpha=90.00 beta=90.00 gamma=90.00
With the nearest neighbours (Å) after each atom.
Sites, in units of the cell vectors:
1 Ta 0.0000 0.0000 0.0000  4 Se 3.42, 8 As 3.44
2 Mo 0.5000 0.5000 0.5000  4 As 2.42, 2 Se 2.45
3 As 0.0000 0.5000 0.5000  2 Mo 2.42
4 As 0.5000 0.0000 0.5000  2 Mo 2.42
5 Se 0.5000 0.5000 0.0000  2 Mo 2.45

Calculated values
Formation energy (no corrections) (kJ/mol of atoms): 99.66
Energy above the most stable polymorph in this dataset (meV/atom): 218
Crystal system: tetragonal
Theoretical density (g cm⁻³): 7.3

Per-record total DFT energy (no corrections), eV for the cell shown: -22.803; -24.723; -17.285; -27.944; -42.729; -20.418; -36.308; -30.303